Mn2HSeO | the Alexandria database | PBE+U | relaxed; polymorph energy (0 for the lowest one) = 0.20 eV/f.u.; uncorrected energy = -6.002 eV/atom; symmetry = Cm (8)
1.0
-5.662 2.594 1.607
-0.663 -2.739 2.086
2.700 2.909 4.676
Mn H Se O
4 2 2 2
Cartesian
-1.196 1.126 4.045 Mn
-4.509 1.243 3.146 Mn
-2.215 1.042 0.664 Mn
-2.827 4.067 4.441 Mn
-0.721 3.093 3.832 H
-2.402 0.269 2.537 H
1.221 1.387 5.155 Se
0.202 1.302 1.773 Se
-3.004 1.929 4.524 O
-4.022 1.844 1.143 O